1.
# YPa3 PBE-GGA optimized geometry
data_YPa3
_chemical_formula_sum 'Y1 Pa3'
_space_group_name_H-M_alt 'P m m 2'
_space_group_IT_number 25
_space_group_name_Hall 'P 2 -2'
_cell_length_a 3.195
_cell_length_b 5.581
_cell_length_c 5.825
_cell_angle_alpha 90.00
_cell_angle_beta 90.00
_cell_angle_gamma 90.00
loop_
_atom_site_label
_atom_site_fract_x
_atom_site_fract_y
_atom_site_fract_z
_atom_site_occupancy
Y1 0.000 0.000 0.000 1
Pa1 0.000 0.500 0.723 1
Pa2 0.500 0.000 0.503 1
Pa3 0.500 0.500 0.236 1
# E_form, eV/atom: 0.20
# Final energy, eV per atom: -8.54
# Excess energy over the best structure of this formula in the dataset, meV/atom: 16
# Crystal system: orthorhombic

=====

2.
# LiYSnPb PBE-GGA optimized geometry
data_LiYSnPb
_chemical_formula_sum 'Li1 Y1 Sn1 Pb1'
_space_group_name_H-M_alt 'P m m m'
_space_group_IT_number 47
_space_group_name_Hall '-P 2 2'
_cell_length_a 4.438
_cell_length_b 4.663
_cell_length_c 4.791
_cell_angle_alpha 90.00
_cell_angle_beta 90.00
_cell_angle_gamma 90.00
loop_
_atom_site_label
_atom_site_fract_x
_atom_site_fract_y
_atom_site_fract_z
_atom_site_occupancy
Li1 0.000 0.000 0.000 1
Y1 0.000 0.500 0.500 1
Sn1 0.500 0.000 0.500 1
Pb1 0.500 0.500 0.000 1
# E_form, eV/atom: -0.49
# Final energy, eV per atom: -4.51
# Crystal system: orthorhombic

=====

3.
# La12Pb3C5 PBE-GGA optimized geometry
data_La12Pb3C5
_chemical_formula_sum 'La96 Pb24 C40'
_space_group_name_H-M_alt 'I a -3 d'
_space_group_IT_number 230
_space_group_name_Hall '-I 4bd 2c 3'
_cell_length_a 16.942
_cell_length_b 16.942
_cell_length_c 16.942
_cell_angle_alpha 90.00
_cell_angle_beta 90.00
_cell_angle_gamma 90.00
loop_
_atom_site_label
_atom_site_fract_x
_atom_site_fract_y
_atom_site_fract_z
_atom_site_occupancy
La1 0.036 0.051 0.648 1
Pb1 0.000 0.250 0.125 1
C1 0.000 0.000 0.000 1
C2 0.000 0.250 0.375 1
# E_form, eV/atom: -0.16
# Final energy, eV per atom: -5.98
# Crystal system: cubic

=====

Question: The highest final energy belongs to which entry?
Answer: LiYSnPb

=====

Copy entry 2 word for word.
# LiYSnPb PBE-GGA optimized geometry
data_LiYSnPb
_chemical_formula_sum 'Li1 Y1 Sn1 Pb1'
_space_group_name_H-M_alt 'P m m m'
_space_group_IT_number 47
_space_group_name_Hall '-P 2 2'
_cell_length_a 4.438
_cell_length_b 4.663
_cell_length_c 4.791
_cell_angle_alpha 90.00
_cell_angle_beta 90.00
_cell_angle_gamma 90.00
loop_
_atom_site_label
_atom_site_fract_x
_atom_site_fract_y
_atom_site_fract_z
_atom_site_occupancy
Li1 0.000 0.000 0.000 1
Y1 0.000 0.500 0.500 1
Sn1 0.500 0.000 0.500 1
Pb1 0.500 0.500 0.000 1
# E_form, eV/atom: -0.49
# Final energy, eV per atom: -4.51
# Crystal system: orthorhombic

=====

What did the third record say?
# La12Pb3C5 PBE-GGA optimized geometry
data_La12Pb3C5
_chemical_formula_sum 'La96 Pb24 C40'
_space_group_name_H-M_alt 'I a -3 d'
_space_group_IT_number 230
_space_group_name_Hall '-I 4bd 2c 3'
_cell_length_a 16.942
_cell_length_b 16.942
_cell_length_c 16.942
_cell_angle_alpha 90.00
_cell_angle_beta 90.00
_cell_angle_gamma 90.00
loop_
_atom_site_label
_atom_site_fract_x
_atom_site_fract_y
_atom_site_fract_z
_atom_site_occupancy
La1 0.036 0.051 0.648 1
Pb1 0.000 0.250 0.125 1
C1 0.000 0.000 0.000 1
C2 0.000 0.250 0.375 1
# E_form, eV/atom: -0.16
# Final energy, eV per atom: -5.98
# Crystal system: cubic

=====

Question: Which value of E_form does entry 1 give?
Answer: 0.20 eV/atom